Density functional theory data (PBE) for a relaxed structure of Zr2Al3Rh.

Structure (CIF):
```
data_Zr2Al3Rh
_chemical_formula_sum 'Zr2 Al3 Rh1'
_cell_length_a 5.213
_cell_length_b 5.213
_cell_length_c 5.213
_cell_angle_alpha 61.56
_cell_angle_beta 61.56
_cell_angle_gamma 61.56
_symmetry_space_group_name_H-M 'P 1'
_symmetry_Int_Tables_number 1
_symmetry_space_group_name_Hall 'P 1'
loop_
_atom_site_label
_atom_site_fract_x
_atom_site_fract_y
_atom_site_fract_z
Zr1 0.128 0.128 0.128
Zr2 0.872 0.872 0.872
Al1 0.000 0.500 0.500
Al2 0.500 0.000 0.500
Al3 0.500 0.500 0.000
Rh1 0.500 0.500 0.500
```

Output
- calculated total energy (eV per atom) = -6.67
- size of the total moment (μB per cell) = 0.000
- DOS(E_F) (states/eV per atom) = 0.913